MgTaNiRu GGA-PBE optimized geometry; N(E_F) = 0.972 states/eV per atom; SG = F-43m (216); ΔH_f (0 K) = -0.25 eV/atom
1.0
-2.368 -3.473 1.242
1.403 -4.050 -0.916
1.445 -2.599 3.220
Ta Ni Mg Ru
1 1 1 1
direct
0.500 0.500 0.500
0.250 0.250 0.250
0.000 0.000 0.000
0.750 0.750 0.750